# 1
Fe3HW, relaxed, DFT PBE; offset from the most stable computed form = 220 meV per atom; size of the total moment = 0.00 μB/f.u.; total energy = -8.1110 eV per atom; ρ = 11.692 g/cm3
1.0
3.385 1.954 2.522
-3.385 1.954 2.522
0.000 -3.908 2.522
Fe H W
6 2 2
Cartesian
-2.427 -0.296 3.153
-0.957 -2.250 4.414
1.470 -1.954 3.153
-1.470 1.954 4.414
0.957 2.250 3.153
2.427 0.296 4.414
0.000 0.000 1.892
0.000 0.000 5.675
0.000 0.000 0.000
0.000 0.000 3.783



# 2
MgNiH, relaxed, DFT PBE; offset from the most stable computed form = 64 meV per atom; size of the total moment = 0.00 μB/f.u.; total energy = -3.7136 eV per atom; ρ = 4.153 g/cm3
1.0
4.458 -1.599 0.000
4.458 1.599 0.000
-3.679 0.000 4.711
Mg Ni H
2 2 2
Cartesian
-0.538 0.000 1.469
5.774 0.000 3.242
-0.595 0.000 4.226
5.832 0.000 0.486
1.847 0.000 0.799
3.390 0.000 3.912



# 3
K4ReAs, relaxed, DFT PBE; size of the total moment = 4.14 μB/f.u.; total energy = -2.3375 eV per atom; ΔH_f (0 K) = 1.244 eV/atom; ρ = 3.330 g/cm3
1.0
0.000 4.704 4.704
4.704 0.000 4.704
4.704 4.704 0.000
K Re As
4 1 1
Cartesian
3.540 3.540 3.540
5.868 5.868 3.540
5.868 3.540 5.868
3.540 5.868 5.868
0.000 0.000 0.000
7.056 7.056 7.056



# 4
MgPb2Br, relaxed, DFT PBE; raw formation energy = -174 meV per atom; offset from the most stable computed form = 173 meV per atom; size of the total moment = 0.00 μB/f.u.; total energy = -2.8452 eV per atom; ρ = 7.210 g/cm3
1.0
3.706 0.000 0.000
0.000 5.896 0.000
-0.088 0.000 5.466
Mg Pb Br
1 2 1
Cartesian
0.000 0.000 0.000
0.812 2.948 4.173
2.806 2.948 1.293
1.809 0.000 2.733



# 5
NaErPb4, relaxed, DFT PBE; offset from the most stable computed form = 0 meV per atom; size of the total moment = 0.00 μB/f.u.; total energy = -3.6044 eV per atom; ΔH_f (0 K) = -0.152 eV/atom; ρ = 9.472 g/cm3
1.0
3.635 0.000 0.000
0.000 4.637 0.000
-1.105 0.000 10.600
Na Er Pb
1 1 4
Cartesian
0.000 0.000 0.000
1.265 2.318 5.300
-0.362 0.000 3.633
0.681 2.318 8.715
1.849 2.318 1.885
2.892 0.000 6.967



# 6
KLi2Rh, relaxed, DFT PBE; size of the total moment = 0.00 μB/f.u.; total energy = -2.8731 eV per atom; ΔH_f (0 K) = 0.196 eV/atom; ρ = 3.092 g/cm3
1.0
3.354 0.000 0.000
0.000 3.354 0.000
0.000 0.000 7.445
K Li Rh
1 2 1
Cartesian
0.000 0.000 0.000
1.677 1.677 2.582
1.677 1.677 4.863
0.000 0.000 3.722



# 7
Tm5GeP4, relaxed, DFT PBE; size of the total moment = 0.00 μB/f.u.; total energy = -6.2492 eV per atom; ΔH_f (0 K) = -1.388 eV/atom; ρ = 7.800 g/cm3
1.0
-4.442 4.442 2.808
4.442 -4.442 2.808
4.442 4.442 -2.808
Tm Ge P
5 1 4
Cartesian
0.000 0.000 0.000
5.362 1.715 0.000
1.715 3.523 0.000
2.728 0.919 2.808
-0.919 2.728 2.808
0.000 0.000 2.808
2.668 0.896 0.000
3.547 -1.774 2.808
0.896 6.217 0.000
1.774 3.547 2.808



# 8
Zr4BrO2, relaxed, DFT PBE; raw formation energy = -644 meV per atom; size of the total moment = 0.00 μB/f.u.; total energy = -7.1847 eV per atom; ρ = 5.612 g/cm3
1.0
-2.443 2.443 5.910
2.443 -2.443 5.910
2.443 2.443 -5.910
Zr Br O
4 1 2
Cartesian
2.443 0.000 0.000
0.000 0.000 2.907
0.000 2.443 0.000
0.000 0.000 8.912
0.000 0.000 0.000
0.000 0.000 4.817
0.000 0.000 7.002



# 9
Mn3Fe4, relaxed, DFT PBE; offset from the most stable computed form = 0 meV per atom; size of the total moment = 11.53 μB/f.u.; total energy = -8.6754 eV per atom; ΔH_f (0 K) = 0.090 eV/atom; ρ = 8.215 g/cm3
1.0
-1.401 1.401 9.995
1.401 -1.401 9.995
1.401 1.401 -9.995
Mn Fe
3 4
Cartesian
0.000 0.000 0.000
0.000 0.000 5.670
0.000 0.000 14.321
0.000 0.000 2.844
0.000 0.000 8.578
0.000 0.000 11.413
0.000 0.000 17.147



# 10
Ca2SnSb2, relaxed, DFT PBE; raw formation energy = -632 meV per atom; offset from the most stable computed form = 0 meV per atom; size of the total moment = 0.00 μB/f.u.; total energy = -3.8824 eV per atom; ρ = 4.889 g/cm3
1.0
9.041 0.000 0.000
0.000 9.041 0.000
0.000 0.000 3.677
Ca Sn Sb
4 2 4
Cartesian
1.259 3.261 0.000
3.261 7.782 0.000
5.780 1.259 0.000
7.782 5.780 0.000
0.000 0.000 1.838
4.520 4.520 1.838
1.461 5.982 1.838
3.059 1.461 1.838
5.982 7.580 1.838
7.580 3.059 1.838



# 11
Ho5Er3In, relaxed, DFT PBE; size of the total moment = 0.00 μB/f.u.; total energy = -3.9858 eV per atom; ΔH_f (0 K) = 0.383 eV/atom; ρ = 7.501 g/cm3
1.0
5.942 -5.674 0.000
5.942 5.674 0.000
-3.278 0.000 9.463
Ho Er In
10 6 2
Cartesian
3.090 2.929 2.025
5.942 3.020 0.000
2.659 0.000 0.551
1.613 0.000 3.874
5.516 2.929 7.438
3.090 -2.929 2.025
6.993 0.000 5.589
5.948 0.000 8.911
5.942 -3.020 0.000
5.516 -2.929 7.438
-1.639 0.000 4.731
-2.655 0.000 7.733
4.830 0.000 3.109
5.942 0.000 0.000
3.776 0.000 6.353
11.261 0.000 1.730
0.757 0.000 6.948
7.850 0.000 2.515



# 12
AsRh2Cl, relaxed, DFT PBE; raw formation energy = 103 meV per atom; offset from the most stable computed form = 307 meV per atom; size of the total moment = 0.00 μB/f.u.; total energy = -5.1965 eV per atom; ρ = 8.030 g/cm3
1.0
-1.464 1.995 5.598
1.464 -1.995 5.598
1.464 1.995 -5.598
As Rh Cl
1 2 1
Cartesian
0.000 0.000 0.000
0.000 0.000 6.400
0.000 1.995 3.469
1.464 0.000 3.109



# 13
Ca3Hg2Pd4, relaxed, DFT PBE; offset from the most stable computed form = 0 meV per atom; size of the total moment = 0.00 μB/f.u.; total energy = -3.6303 eV per atom; ΔH_f (0 K) = -0.588 eV/atom; ρ = 7.677 g/cm3
1.0
4.996 -2.346 0.000
4.996 2.346 0.000
-1.093 0.000 8.740
Ca Hg Pd
3 2 4
Cartesian
0.000 0.000 0.000
3.085 0.000 5.385
5.815 0.000 3.355
2.815 0.000 2.078
6.085 0.000 6.662
0.134 0.000 5.532
1.741 0.000 8.006
7.159 0.000 0.734
8.765 0.000 3.208



# 14
Tb4CeGa5, relaxed, DFT PBE; size of the total moment = 0.65 μB/f.u.; total energy = -4.5204 eV per atom; ΔH_f (0 K) = -0.562 eV/atom; ρ = 8.032 g/cm3
1.0
3.567 0.000 0.000
0.000 3.567 0.000
0.000 0.000 18.274
Tb Ce Ga
4 1 5
Cartesian
0.000 0.000 1.804
0.000 0.000 5.406
0.000 0.000 12.869
0.000 0.000 16.470
0.000 0.000 9.137
1.783 1.783 0.000
1.783 1.783 3.605
1.783 1.783 7.199
1.783 1.783 11.075
1.783 1.783 14.669



# 15
SrGe2Au2, relaxed, DFT PBE; size of the total moment = 0.00 μB/f.u.; total energy = -3.9413 eV per atom; ΔH_f (0 K) = -0.447 eV/atom; ρ = 9.097 g/cm3
1.0
-2.291 2.291 5.448
2.291 -2.291 5.448
2.291 2.291 -5.448
Sr Ge Au
1 2 2
Cartesian
0.000 0.000 0.000
2.291 0.000 2.724
0.000 2.291 2.724
0.000 0.000 4.051
0.000 0.000 6.844



# 16
TlAg2BiCl6, relaxed, DFT PBE; raw formation energy = -780 meV per atom; size of the total moment = 0.00 μB/f.u.; total energy = -3.0832 eV per atom; ρ = 4.757 g/cm3
1.0
7.233 0.000 0.000
3.616 6.271 0.000
3.616 2.087 6.478
Tl Ag Bi Cl
1 2 1 6
Cartesian
0.000 0.000 0.000
3.613 2.091 1.069
10.848 6.273 3.827
7.231 4.180 3.637
5.208 4.603 5.366
5.985 6.306 2.283
8.610 5.721 5.365
6.015 2.037 2.281
7.876 2.217 5.367
9.692 4.198 2.278



# 17
Pa2VGaN5, relaxed, DFT PBE; raw formation energy = -1096 meV per atom; size of the total moment = 2.08 μB/f.u.; total energy = -9.1804 eV per atom; ρ = 10.093 g/cm3
1.0
1.647 -6.811 0.000
1.647 6.811 0.000
0.000 0.000 9.573
Pa V Ga N
4 2 2 10
Cartesian
1.647 5.087 4.787
1.647 4.979 0.796
1.647 -4.979 5.583
1.647 -5.087 0.000
1.647 3.852 7.630
1.647 -3.852 2.843
1.647 0.244 2.650
1.647 -0.244 7.437
1.647 5.913 8.084
1.647 2.899 4.266
1.647 2.756 1.470
1.647 1.825 7.739
1.647 0.019 5.482
1.647 -0.019 0.695
1.647 -1.825 2.953
1.647 -2.756 6.256
1.647 -2.899 9.053
1.647 -5.913 3.297



# 18
TlCdFeCl5, relaxed, DFT PBE; raw formation energy = -916 meV per atom; size of the total moment = 4.00 μB/f.u.; total energy = -3.5387 eV per atom; ρ = 3.915 g/cm3
1.0
4.459 -5.983 0.000
4.459 5.983 0.000
-3.700 0.000 8.743
Tl Cd Fe Cl
2 2 2 10
Cartesian
1.684 4.113 6.558
3.534 -4.113 2.186
4.459 0.000 0.000
2.609 0.000 4.372
3.534 3.764 2.186
1.684 -3.764 6.558
-1.826 0.856 8.148
2.043 2.460 3.357
0.024 -0.856 3.777
5.025 2.460 1.015
1.684 0.958 6.558
3.534 -0.958 2.186
0.192 -2.460 7.729
5.194 0.856 4.967
3.175 -2.460 5.387
7.044 -0.856 0.595



# 19
Y2TeAs, relaxed, DFT PBE; raw formation energy = -335 meV per atom; offset from the most stable computed form = 1181 meV per atom; size of the total moment = 0.00 μB/f.u.; total energy = -5.5151 eV per atom; ρ = 6.304 g/cm3
1.0
0.000 3.686 3.686
3.686 0.000 3.686
3.686 3.686 0.000
Y Te As
2 1 1
Cartesian
0.000 0.000 0.000
1.843 1.843 1.843
5.529 5.529 5.529
3.686 3.686 3.686